# Ni4Au5 PBE relaxed
# - Total DFT energy (no corrections): -0.1566 hartree per atom
# - Magnetic moment: 2.40 μB/f.u.
data_Ni4Au5
_space_group_name_H-M_alt 'I 4/m m m'
_space_group_IT_number 139
_space_group_name_Hall '-I 4 2'
_cell_length_a 8.301
_cell_length_b 8.301
_cell_length_c 3.952
_cell_angle_alpha 90.00
_cell_angle_beta 90.00
_cell_angle_gamma 90.00
loop_
_atom_site_label
_atom_site_type_symbol
_atom_site_fract_x
_atom_site_fract_y
_atom_site_fract_z
Ni1 Ni 0.000 0.355 0.000
Au1 Au 0.000 0.000 0.000
Au2 Au 0.171 0.171 0.500

# Ni3Au PBE relaxed
# - Total DFT energy (no corrections): -0.1834 hartree per atom
# - Magnetic moment: 1.73 μB/f.u.
data_Ni3Au
_space_group_name_H-M_alt 'P m m 2'
_space_group_IT_number 25
_cell_length_a 2.692
_cell_length_b 4.239
_cell_length_c 4.519
_cell_angle_alpha 90.00
_cell_angle_beta 90.00
_cell_angle_gamma 90.00
loop_
_space_group_symop_operation_xyz
'x,y,z'
'-x,-y,z'
'-x,y,z'
'x,-y,z'
loop_
_atom_site_label
_atom_site_type_symbol
_atom_site_fract_x
_atom_site_fract_y
_atom_site_fract_z
Ni1 Ni 0.000 0.000 0.000
Ni2 Ni 0.000 0.500 0.315
Ni3 Ni 0.500 0.500 0.856
Au1 Au 0.500 0.000 0.502

# Ni3Au PBE relaxed
# - Total DFT energy (no corrections): -0.1855 hartree per atom
# - Magnetic moment: 1.86 μB/f.u.
data_Ni3Au
_space_group_name_H-M_alt 'P 63/m m c'
_space_group_IT_number 194
_space_group_name_Hall '-P 6c 2c'
_cell_length_a 5.2520
_cell_length_b 5.2520
_cell_length_c 4.2717
_cell_angle_alpha 90.00
_cell_angle_beta 90.00
_cell_angle_gamma 120.00
loop_
_atom_site_label
_atom_site_type_symbol
_atom_site_fract_x
_atom_site_fract_y
_atom_site_fract_z
Ni1 Ni 0.1586 0.3172 0.2500
Au1 Au 0.3333 0.6667 0.7500